Crystalline Y4ZnCd at its relaxed geometry, computed with GGA-PBE. Values from VASP.

Summary:
Crystal system: tetragonal
Relative energy among the computed polymorphs, meV per atom: 256.1

Cell and atoms, written as Quantum ESPRESSO input:
```
&SYSTEM
  ibrav = 0, nat = 6, ntyp = 3
/
ATOMIC_SPECIES
Y 88.91 Y.upf
Zn 65.41 Zn.upf
Cd 112.41 Cd.upf
CELL_PARAMETERS angstrom
5.0261 0.0000 0.0000
0.0000 5.0261 0.0000
0.0000 0.0000 7.2664
ATOMIC_POSITIONS angstrom
Y 0.0000 2.5131 1.7371
Y 0.0000 2.5131 5.5294
Y 2.5131 0.0000 1.7371
Y 2.5131 0.0000 5.5294
Zn 0.0000 0.0000 0.0000
Cd 2.5131 2.5131 3.6332
```



Crystalline YZnCd5 at its relaxed geometry, computed with GGA-PBE. Values from VASP.

Summary:
Crystal system: tetragonal
Total energy, eV per atom: -1.936

Cell and atoms, written as Quantum ESPRESSO input:
```
&SYSTEM
  ibrav = 0, nat = 7, ntyp = 3
/
ATOMIC_SPECIES
Y 88.91 Y.upf
Zn 65.41 Zn.upf
Cd 112.41 Cd.upf
CELL_PARAMETERS angstrom
4.6727 0.0000 0.0000
0.0000 4.6727 0.0000
0.0000 0.0000 7.3915
ATOMIC_POSITIONS angstrom
Y 0.0000 0.0000 0.0000
Zn 0.0000 0.0000 3.6957
Cd 0.0000 2.3363 2.1768
Cd 0.0000 2.3363 5.2147
Cd 2.3363 0.0000 2.1768
Cd 2.3363 0.0000 5.2147
Cd 2.3363 2.3363 0.0000
```



Crystalline Y4ZnCd3 at its relaxed geometry, computed with GGA-PBE. Values from VASP.

Summary:
Crystal system: tetragonal
Total energy, eV per atom: -4.087

Cell and atoms, written as Quantum ESPRESSO input:
```
&SYSTEM
  ibrav = 0, nat = 8, ntyp = 3
/
ATOMIC_SPECIES
Y 88.91 Y.upf
Zn 65.41 Zn.upf
Cd 112.41 Cd.upf
CELL_PARAMETERS angstrom
3.6886 0.0000 0.0000
0.0000 3.6886 0.0000
0.0000 0.0000 14.9967
ATOMIC_POSITIONS angstrom
Y 0.0000 0.0000 1.7175
Y 0.0000 0.0000 5.5793
Y 0.0000 0.0000 9.4173
Y 0.0000 0.0000 13.2791
Zn 1.8443 1.8443 0.0000
Cd 1.8443 1.8443 3.6607
Cd 1.8443 1.8443 7.4983
Cd 1.8443 1.8443 11.3360
```



Crystalline Y3Zn9Cd2 at its relaxed geometry, computed with GGA-PBE. Values from VASP.

Summary:
Crystal system: orthorhombic
Total energy, eV per atom: -2.646

Cell and atoms, written as Quantum ESPRESSO input:
```
&SYSTEM
  ibrav = 0, nat = 14, ntyp = 3
/
ATOMIC_SPECIES
Y 88.91 Y.upf
Zn 65.41 Zn.upf
Cd 112.41 Cd.upf
CELL_PARAMETERS angstrom
-2.2395 4.4588 6.6684
2.2395 -4.4588 6.6684
2.2395 4.4588 -6.6684
ATOMIC_POSITIONS angstrom
Y 0.0000 0.0000 0.0000
Y 0.0000 0.0000 3.8580
Y 0.0000 0.0000 9.4787
Zn 2.2395 -1.2305 2.1783
Zn 2.2395 -1.9671 4.7610
Zn 2.2395 1.2305 2.1783
Zn 0.0000 2.4918 1.9074
Zn 0.0000 4.4588 0.0000
Zn 2.2395 1.9671 4.7610
Zn 0.0000 3.2283 4.4901
Zn 0.0000 6.4259 1.9074
Zn 0.0000 5.6893 4.4901
Cd 2.2395 2.7914 0.0000
Cd 0.0000 1.6674 6.6684
```



Crystalline YZn2Cd at its relaxed geometry, computed with GGA-PBE. Values from VASP.

Summary:
Crystal system: tetragonal
Total energy, eV per atom: -2.700

Cell and atoms, written as Quantum ESPRESSO input:
```
&SYSTEM
  ibrav = 0, nat = 4, ntyp = 3
/
ATOMIC_SPECIES
Y 88.91 Y.upf
Zn 65.41 Zn.upf
Cd 112.41 Cd.upf
CELL_PARAMETERS angstrom
-2.4186 2.4186 3.4361
2.4186 -2.4186 3.4361
2.4186 2.4186 -3.4361
ATOMIC_POSITIONS angstrom
Y 0.0000 0.0000 0.0000
Zn 2.4186 0.0000 1.7180
Zn 0.0000 0.0000 3.4361
Cd 0.0000 2.4186 1.7180
```



Crystalline YZnCd2 at its relaxed geometry, computed with GGA-PBE. Values from VASP.

Summary:
Crystal system: tetragonal
Total energy, eV per atom: -2.540

Cell and atoms, written as Quantum ESPRESSO input:
```
&SYSTEM
  ibrav = 0, nat = 4, ntyp = 3
/
ATOMIC_SPECIES
Y 88.91 Y.upf
Zn 65.41 Zn.upf
Cd 112.41 Cd.upf
CELL_PARAMETERS angstrom
3.4797 0.0000 0.0000
0.0000 3.4797 0.0000
0.0000 0.0000 7.4062
ATOMIC_POSITIONS angstrom
Y 0.0000 0.0000 0.0000
Zn 0.0000 0.0000 3.7031
Cd 1.7398 1.7398 2.1041
Cd 1.7398 1.7398 5.3021
```



Crystalline YZnCd2 at its relaxed geometry, computed with GGA-PBE. Values from VASP.

Summary:
Crystal system: orthorhombic
Total energy, eV per atom: -2.587

Cell and atoms, written as Quantum ESPRESSO input:
```
&SYSTEM
  ibrav = 0, nat = 4, ntyp = 3
/
ATOMIC_SPECIES
Y 88.91 Y.upf
Zn 65.41 Zn.upf
Cd 112.41 Cd.upf
CELL_PARAMETERS angstrom
4.4905 0.0000 0.0000
0.0000 1.6798 6.0118
0.0000 -1.6798 6.0118
ATOMIC_POSITIONS angstrom
Y 0.0000 0.0000 0.0000
Zn 2.2453 0.0000 7.2203
Cd 0.0000 0.0000 8.8240
Cd 2.2453 0.0000 4.1289
```



Crystalline Y6Zn5Cd at its relaxed geometry, computed with GGA-PBE. Values from VASP.

Summary:
Crystal system: orthorhombic
Total energy, eV per atom: -4.192

Cell and atoms, written as Quantum ESPRESSO input:
```
&SYSTEM
  ibrav = 0, nat = 12, ntyp = 3
/
ATOMIC_SPECIES
Y 88.91 Y.upf
Zn 65.41 Zn.upf
Cd 112.41 Cd.upf
CELL_PARAMETERS angstrom
2.5490 -7.6533 0.0000
2.5490 7.6533 0.0000
0.0000 0.0000 7.2465
ATOMIC_POSITIONS angstrom
Y 0.0000 0.0000 1.7492
Y 0.0000 0.0000 5.4973
Y 2.5490 2.6026 1.7831
Y 2.5490 2.6026 5.4634
Y 2.5490 -2.6026 1.7831
Y 2.5490 -2.6026 5.4634
Zn 2.5490 5.1265 3.6232
Zn 2.5490 5.1115 0.0000
Zn 2.5490 0.0000 0.0000
Zn 2.5490 -5.1115 0.0000
Zn 2.5490 -5.1265 3.6232
Cd 2.5490 0.0000 3.6232
```



Crystalline Y2ZnCd at its relaxed geometry, computed with GGA-PBE. Values from VASP.

Summary:
Crystal system: tetragonal
Relative energy among the computed polymorphs, meV per atom: 403.5

Cell and atoms, written as Quantum ESPRESSO input:
```
&SYSTEM
  ibrav = 0, nat = 8, ntyp = 3
/
ATOMIC_SPECIES
Y 88.91 Y.upf
Zn 65.41 Zn.upf
Cd 112.41 Cd.upf
CELL_PARAMETERS angstrom
-4.0017 4.0017 3.4556
4.0017 -4.0017 3.4556
4.0017 4.0017 -3.4556
ATOMIC_POSITIONS angstrom
Y 6.0026 1.8235 -0.8639
Y 1.8235 2.0009 0.8639
Y -2.0009 2.1782 2.5917
Y 2.1782 2.0009 4.3195
Zn 0.0000 0.0000 0.0000
Zn 0.0000 4.0017 1.7278
Cd 4.0017 0.0000 1.7278
Cd 0.0000 0.0000 3.4556
```



Crystalline YZnCd2 at its relaxed geometry, computed with GGA-PBE. Values from VASP.

Summary:
Crystal system: monoclinic
Total energy, eV per atom: -2.682

Cell and atoms, written as Quantum ESPRESSO input:
```
&SYSTEM
  ibrav = 0, nat = 8, ntyp = 3
/
ATOMIC_SPECIES
Y 88.91 Y.upf
Zn 65.41 Zn.upf
Cd 112.41 Cd.upf
CELL_PARAMETERS angstrom
3.3490 -3.3505 0.0000
3.3490 3.3505 0.0000
-3.3461 0.0000 7.8245
ATOMIC_POSITIONS angstrom
Y -0.0022 0.0000 2.2031
Y 3.3542 0.0000 5.6214
Zn 1.6760 1.6746 3.9123
Zn 1.6760 -1.6746 3.9123
Cd 1.6745 1.6752 0.0000
Cd 0.0031 0.0000 5.6495
Cd 1.6745 -1.6752 0.0000
Cd 3.3488 0.0000 2.1750
```



Crystalline Y2ZnCd at its relaxed geometry, computed with GGA-PBE. Values from VASP.

Summary:
Crystal system: orthorhombic
Relative energy among the computed polymorphs, meV per atom: 117.8

Cell and atoms, written as Quantum ESPRESSO input:
```
&SYSTEM
  ibrav = 0, nat = 4, ntyp = 3
/
ATOMIC_SPECIES
Y 88.91 Y.upf
Zn 65.41 Zn.upf
Cd 112.41 Cd.upf
CELL_PARAMETERS angstrom
-1.7963 2.5545 5.3940
1.7963 -2.5545 5.3940
1.7963 2.5545 -5.3940
ATOMIC_POSITIONS angstrom
Y 0.0000 0.0000 0.0000
Y 0.0000 2.5545 2.3814
Zn 1.7963 0.0000 2.6365
Cd 0.0000 0.0000 4.7815
```



Crystalline YZnCd2 at its relaxed geometry, computed with GGA-PBE. Values from VASP.

Summary:
Crystal system: monoclinic
Total energy, eV per atom: -2.568

Cell and atoms, written as Quantum ESPRESSO input:
```
&SYSTEM
  ibrav = 0, nat = 4, ntyp = 3
/
ATOMIC_SPECIES
Y 88.91 Y.upf
Zn 65.41 Zn.upf
Cd 112.41 Cd.upf
CELL_PARAMETERS angstrom
3.3512 0.0000 0.0000
0.0000 4.7523 0.0000
-1.0399 0.0000 5.7496
ATOMIC_POSITIONS angstrom
Y 0.0000 0.0000 0.0000
Zn 1.1556 0.0000 2.8748
Cd 0.5476 2.3761 4.2264
Cd 1.7637 2.3761 1.5232
```



Number 1: ρ 4.8 g/cm3. Number 2: ρ 7.4 g/cm3. Number 3: ρ 6.2 g/cm3. Number 4: ρ 6.7 g/cm3. Number 5: ρ 6.9 g/cm3. Number 6: ρ 7.0 g/cm3. Number 7: ρ 6.9 g/cm3. Number 8: ρ 5.7 g/cm3. Number 9: ρ 5.3 g/cm3. Number 10: ρ 7.2 g/cm3. Number 11: ρ 6.0 g/cm3. Number 12: ρ 6.9 g/cm3.